A relaxed Li2Ti2NiO6 crystal, computed with PBE with a Hubbard U.

Cell: 5.1041 5.1660 10.3833 Å, 90.00 90.00 119.60°
With the nearest neighbours (Å) after each atom.
Sites, in units of the cell vectors:
1 Li 0.8330 0.5000 0.7500  4 O 2.01-2.09
2 Li 0.6670 0.5000 0.2500  4 O 2.01-2.09
3 Li 0.3330 0.5000 0.7500  4 O 2.01-2.09
4 Li 0.1670 0.5000 0.2500  4 O 2.01-2.09
5 Ti 0.6608 0.3215 0.5000  6 O 1.94-2.01
6 Ti 0.8392 0.6785 0.0000  6 O 1.94-2.01
7 Ti 0.1608 0.3215 0.0000  6 O 1.94-2.01
8 Ti 0.3392 0.6785 0.5000  6 O 1.94-2.01
9 Ni 0.5000 0.0000 0.0000  6 O 2.04-2.18
10 Ni 0.0000 0.0000 0.5000  6 O 2.04-2.18
11 O 0.3454 0.0000 0.5983  2 Ti 1.94, 1 Ni 2.04
12 O 0.1546 0.0000 0.0983  2 Ti 1.94, 1 Ni 2.04
13 O 0.8454 0.0000 0.9017  2 Ti 1.94, 1 Ni 2.04
14 O 0.6546 0.0000 0.4017  2 Ti 1.94, 1 Ni 2.04
15 O 0.8605 0.3644 0.1072  2 Ti 1.99-2.01, 2 Li 2.01-2.09, 1 Ni 2.18
16 O 0.1395 0.6356 0.8928  2 Ti 1.99-2.01, 2 Li 2.01-2.09, 1 Ni 2.18
17 O 0.9961 0.6356 0.3928  2 Ti 1.99-2.01, 2 Li 2.01-2.09, 1 Ni 2.18
18 O 0.6395 0.6356 0.6072  2 Ti 1.99-2.01, 2 Li 2.01-2.09, 1 Ni 2.18
19 O 0.5039 0.3644 0.8928  2 Ti 1.99-2.01, 2 Li 2.01-2.09, 1 Ni 2.18
20 O 0.3605 0.3644 0.3928  2 Ti 1.99-2.01, 2 Li 2.01-2.09, 1 Ni 2.18
21 O 0.0039 0.3644 0.6072  2 Ti 1.99-2.01, 2 Li 2.01-2.09, 1 Ni 2.18
22 O 0.4961 0.6356 0.1072  2 Ti 1.99-2.01, 2 Li 2.01-2.09, 1 Ni 2.18

## Properties
Electronic total energy in eV per formula unit: -78.1
Symmetry: Cmce, No. 64


A relaxed Li4Ti4V4NiO18 crystal, computed with PBE with a Hubbard U.

Cell: 2.9722 9.3163 24.0617 Å, 90.00 90.00 90.00°
With the nearest neighbours (Å) after each atom.
Sites, in units of the cell vectors:
1 Li 0.0000 0.7009 0.9919  5 O 2.09-2.16
2 Li 0.0000 0.6643 0.1940  5 O 2.17-2.32
3 Li 0.0000 0.8357 0.6940  5 O 2.17-2.32
4 Li 0.0000 0.7991 0.4919  5 O 2.09-2.16
5 Li 0.0000 0.2009 0.5081  5 O 2.09-2.16
6 Li 0.0000 0.1643 0.3060  5 O 2.17-2.32
7 Li 0.0000 0.3357 0.8060  5 O 2.17-2.32
8 Li 0.0000 0.2991 0.0081  5 O 2.09-2.16
9 Ti 0.0000 0.4723 0.1004  6 O 1.92-2.07
10 Ti 0.5000 0.6919 0.8070  6 O 1.92-2.08
11 Ti 0.5000 0.8081 0.3070  6 O 1.92-2.08
12 Ti 0.0000 0.0277 0.6004  6 O 1.92-2.07
13 Ti 0.0000 0.9723 0.3996  6 O 1.92-2.07
14 Ti 0.5000 0.1919 0.6930  6 O 1.92-2.08
15 Ti 0.5000 0.3081 0.1930  6 O 1.92-2.08
16 Ti 0.0000 0.5277 0.8996  6 O 1.92-2.07
17 V 0.0000 0.4672 0.3180  6 O 2.03-2.08
18 V 0.5000 0.6789 0.5863  6 O 1.87-2.01
19 V 0.5000 0.8211 0.0863  6 O 1.87-2.01
20 V 0.0000 0.0328 0.8180  6 O 2.03-2.08
21 V 0.0000 0.9672 0.1820  6 O 2.03-2.08
22 V 0.5000 0.1789 0.9137  6 O 1.87-2.01
23 V 0.5000 0.3211 0.4137  6 O 1.87-2.01
24 V 0.0000 0.5328 0.6820  6 O 2.03-2.08
25 Ni 0.0000 0.5000 0.5000  4 O 2.04
26 Ni 0.0000 0.0000 0.0000  4 O 2.04
27 O 0.0000 0.4624 0.4045  3 V 2.00-2.08
28 O 0.0000 0.5376 0.5955  3 V 2.00-2.08
29 O 0.5000 0.5811 0.9457  2 Ti 1.92
30 O 0.5000 0.5126 0.1583  3 Ti 2.07-2.08, 2 Li 2.22
31 O 0.5000 0.6829 0.6648  3 V 1.89-2.08
32 O 0.0000 0.6441 0.7559  2 Ti 1.98, 1 V 2.06
33 O 0.5000 0.6485 0.5093  1 V 1.87, 2 Ni 2.04, 2 Li 2.09
34 O 0.5000 0.6037 0.2954  1 Ti 1.92, 2 V 2.03
35 O 0.0000 0.7128 0.8601  3 Ti 1.97
36 O 0.0000 0.6769 0.0794  1 Ti 1.97, 2 V 2.01, 1 Li 2.12
37 O 0.0000 0.8231 0.5794  1 Ti 1.97, 2 V 2.01, 1 Li 2.12
38 O 0.0000 0.7872 0.3601  3 Ti 1.97
39 O 0.5000 0.8963 0.7954  1 Ti 1.92, 2 V 2.03
40 O 0.5000 0.8515 0.0093  1 V 1.87, 2 Ni 2.04, 2 Li 2.09
41 O 0.0000 0.8559 0.2559  2 Ti 1.98, 1 V 2.06
42 O 0.5000 0.8171 0.1648  3 V 1.89-2.08
43 O 0.5000 0.9874 0.6583  3 Ti 2.07-2.08, 2 Li 2.22
44 O 0.5000 0.9189 0.4457  2 Ti 1.92
45 O 0.0000 0.9624 0.0955  3 V 2.00-2.08
46 O 0.0000 0.0376 0.9045  3 V 2.00-2.08
47 O 0.5000 0.0811 0.5543  2 Ti 1.92
48 O 0.5000 0.0126 0.3417  3 Ti 2.07-2.08, 2 Li 2.22
49 O 0.5000 0.1829 0.8352  3 V 1.89-2.08
50 O 0.0000 0.1441 0.7441  2 Ti 1.98, 1 V 2.06
51 O 0.5000 0.1485 0.9907  1 V 1.87, 2 Ni 2.04, 2 Li 2.09
52 O 0.5000 0.1037 0.2046  1 Ti 1.92, 2 V 2.03
53 O 0.0000 0.2128 0.6399  3 Ti 1.97
54 O 0.0000 0.1769 0.4206  1 Ti 1.97, 2 V 2.01, 1 Li 2.12
55 O 0.0000 0.3231 0.9206  1 Ti 1.97, 2 V 2.01, 1 Li 2.12
56 O 0.0000 0.2872 0.1399  3 Ti 1.97
57 O 0.5000 0.3963 0.7046  1 Ti 1.92, 2 V 2.03
58 O 0.5000 0.3515 0.4907  1 V 1.87, 2 Ni 2.04, 2 Li 2.09
59 O 0.0000 0.3559 0.2441  2 Ti 1.98, 1 V 2.06
60 O 0.5000 0.3171 0.3352  3 V 1.89-2.08
61 O 0.5000 0.4874 0.8417  3 Ti 2.07-2.08, 2 Li 2.22
62 O 0.5000 0.4189 0.0543  2 Ti 1.92

## Properties
Electronic total energy in eV per formula unit: -233.6
Symmetry: Pbam, No. 55


A relaxed Li4Ti2V3Ni3O16 crystal, computed with PBE with a Hubbard U.

Cell: 5.8803 5.9167 9.6216 Å, 90.50 90.30 119.82°
With the nearest neighbours (Å) after each atom.
Sites, in units of the cell vectors:
1 Li 0.3537 0.6840 0.1012  4 O 1.93-1.99
2 Li 0.0020 0.9987 0.0113  4 O 1.83-2.01
3 Li 0.0016 0.9954 0.5013  4 O 1.85-1.96
4 Li 0.6448 0.3324 0.5951  4 O 1.97-2.02
5 Ti 0.3423 0.6663 0.4919  3 O 1.82-1.90
6 Ti 0.6335 0.2884 0.0121  3 O 1.82-1.97
7 V 0.1456 0.7962 0.7731  4 O 1.75-1.89
8 V 0.6541 0.8237 0.7862  5 O 1.83-2.01
9 V 0.8445 0.6427 0.2659  4 O 1.77-1.84
10 Ni 0.1667 0.3340 0.7934  6 O 2.02-2.13
11 Ni 0.3461 0.1743 0.2923  6 O 2.00-2.20
12 Ni 0.8353 0.1683 0.2935  6 O 1.99-2.19
13 O 0.1643 0.8201 0.4037  1 Ti 1.90, 1 Li 1.96, 1 V 2.09
14 O 0.4570 0.9656 0.6691  2 V 1.89-2.07, 1 Li 2.02
15 O 0.3235 0.6898 0.8958  2 V 1.88-2.01, 1 Li 1.99, 1 Ni 2.07
16 O 0.0005 0.9863 0.6934  1 Li 1.85, 2 V 1.88-1.99, 1 Ni 2.02
17 O 0.9925 0.9759 0.2011  1 V 1.83, 1 Li 1.83, 2 Ni 1.99-2.00
18 O 0.6596 0.8271 0.4076  1 Ti 1.82, 1 Li 1.96
19 O 0.0176 0.5222 0.6640  1 V 1.75
20 O 0.4925 0.5467 0.6653  1 V 1.83, 1 Li 2.00
21 O 0.8420 0.6749 0.8942  2 V 1.96-2.01, 1 Li 2.00
22 O 0.1770 0.3388 0.4156  1 Ti 1.83, 1 Li 1.96
23 O 0.5499 0.5081 0.1533  1 V 1.84, 1 Li 1.96
24 O 0.9852 0.5044 0.1566  1 V 1.77, 1 Li 1.96
25 O 0.6947 0.3785 0.3930  1 V 1.84, 1 Li 1.97, 2 Ni 2.02-2.04
26 O 0.3312 0.1647 0.9096  1 Ti 1.83, 1 Li 1.95, 1 Ni 2.04
27 O 0.5290 0.0492 0.1504  1 Ti 1.82, 1 Li 1.93
28 O 0.8131 0.1435 0.9020  1 Ti 1.97, 1 V 1.97, 1 Li 2.01, 1 Ni 2.10

## Properties
Electronic total energy in eV per formula unit: -189.4
Symmetry: P1, No. 1


A relaxed Li4Ti3Ni3W2O16 crystal, computed with PBE with a Hubbard U.

Cell: 5.9976 5.9514 9.7853 Å, 90.83 90.30 120.01°
With the nearest neighbours (Å) after each atom.
Sites, in units of the cell vectors:
1 Li 0.3238 0.6668 0.9014  4 O 1.93-2.03
2 Li 0.9925 0.9912 0.9840  2 O 1.82-2.00
3 Li 0.9989 0.9976 0.4955  4 O 1.86-2.02
4 Li 0.6592 0.3379 0.4107  4 O 1.95-2.06
5 Ti 0.2011 0.8646 0.2127  4 O 1.88-1.96
6 Ti 0.1497 0.3430 0.2197  5 O 1.89-1.99
7 Ti 0.3500 0.2026 0.7228  5 O 1.89-2.10
8 Ni 0.6596 0.8219 0.2103  6 O 2.03-2.14
9 Ni 0.8347 0.6568 0.7088  6 O 1.98-2.19
10 Ni 0.8308 0.1633 0.7103  5 O 2.00-2.18
11 W 0.3400 0.6731 0.4914  4 O 1.89-2.06
12 W 0.6867 0.3426 0.9817  5 O 1.95-2.09
13 O 0.1716 0.8239 0.5848  1 W 1.89, 1 Li 2.00
14 O 0.0294 0.5125 0.3373  1 Ti 1.89, 1 Li 2.06
15 O 0.3077 0.6516 0.1088  2 Ti 1.94-1.96, 1 Li 2.03, 1 Ni 2.07
16 O 0.0104 0.0014 0.3051  1 Li 1.86, 2 Ti 1.93-1.97, 1 Ni 2.03
17 O 0.0206 0.0047 0.7987  1 Li 1.82, 1 Ti 1.89, 2 Ni 1.98-2.01
18 O 0.1896 0.3419 0.5976  1 Ti 1.98, 1 W 2.02, 1 Li 2.02, 1 Ni 2.18
19 O 0.4722 0.9670 0.3406  1 Ti 1.88, 1 Li 2.02
20 O 0.4590 0.5081 0.3427  1 Ti 1.99, 1 Li 2.03, 1 W 2.06, 1 Ni 2.11
21 O 0.3355 0.1626 0.1037  1 Ti 1.89
22 O 0.6720 0.8244 0.5852  1 Li 1.92, 1 W 1.94, 2 Ni 2.10-2.11
23 O 0.5129 0.4845 0.8501  1 Ti 1.90, 1 Li 1.98, 1 W 2.09
24 O 0.5049 0.0424 0.8569  1 W 1.96, 1 Li 1.99, 1 Ti 2.10
25 O 0.6382 0.3053 0.6091  1 Ti 1.89, 1 Li 1.95, 2 Ni 2.00-2.04
26 O 0.8377 0.6594 0.0944  1 W 1.95, 1 Li 2.04, 1 Ni 2.09
27 O 0.9653 0.4798 0.8477  1 Li 1.93, 1 W 1.97, 2 Ni 2.10
28 O 0.8460 0.1696 0.0958  1 Ti 1.98, 1 Li 2.00, 1 W 2.06, 1 Ni 2.13

## Properties
Electronic total energy in eV per formula unit: -193.7
Symmetry: P1, No. 1


A relaxed LiTl4Ni4O12 crystal, computed with PBE with a Hubbard U.

Cell: 5.5907 5.6818 7.6113 Å, 91.07 91.46 82.32°
With the nearest neighbours (Å) after each atom.
Sites, in units of the cell vectors:
1 Li 0.2764 0.2157 0.2490  3 O 1.81-1.90
2 Tl 0.5198 0.4575 0.7392  7 O 2.34-2.58
3 Tl 0.9303 0.0032 0.2754  4 O 2.14-2.35
4 Tl 0.4895 0.5901 0.2510  6 O 2.30-2.51
5 Tl 0.0178 0.9683 0.7584  4 O 2.20-2.25
6 Ni 0.5075 0.0241 0.9889  4 O 1.87-2.01
7 Ni 0.4958 0.0030 0.5131  6 O 1.95-2.14
8 Ni 0.0048 0.5002 0.5020  4 O 1.92-2.03
9 Ni 0.9915 0.5142 0.9987  6 O 1.97-2.11
10 O 0.6879 0.6757 0.5283  2 Ni 1.93-2.02
11 O 0.6725 0.7006 0.9548  2 Ni 1.96-1.97
12 O 0.2044 0.8082 0.4482  2 Ni 2.13-2.25, 1 Tl 2.19
13 O 0.8108 0.1780 0.5474  2 Ni 2.14-2.28, 2 Tl 2.22-2.35
14 O 0.7999 0.2291 0.9275  2 Ni 2.11-2.19, 2 Tl 2.20-2.37
15 O 0.3987 0.0576 0.7557  2 Ni 1.87-1.95
16 O 0.1492 0.8200 0.0620  1 Ni 2.09, 1 Tl 2.22
17 O 0.5527 0.9808 0.2411  1 Li 1.90, 2 Ni 1.95-2.10
18 O 0.9182 0.4250 0.2489  2 Ni 2.03-2.05, 1 Li 2.19
19 O 0.3262 0.3469 0.0403  1 Li 1.81, 2 Ni 2.00-2.01
20 O 0.0978 0.5722 0.7500  2 Ni 1.99-2.04
21 O 0.3232 0.3343 0.4701  1 Li 1.83, 2 Ni 1.92-2.03

## Properties
Relative energy among the computed polymorphs in meV per atom: 54
Symmetry: P1, No. 1


A relaxed LiTl4Ni4O12 crystal, computed with PBE with a Hubbard U.

Cell: 5.3565 5.5404 8.0081 Å, 87.98 86.87 89.30°
With the nearest neighbours (Å) after each atom.
Sites, in units of the cell vectors:
1 Li 0.8627 0.8853 0.0610  4 O 1.83-1.95
2 Tl 0.5208 0.4444 0.7470  4 O 2.23-2.31
3 Tl 0.0419 0.0864 0.2895  6 O 2.21-2.47, 1 Li 2.42
4 Tl 0.4736 0.5602 0.2328  5 O 2.25-2.40
5 Tl 0.9885 0.9458 0.7276  5 O 2.24-2.39
6 Ni 0.4721 0.0023 0.9904  4 O 1.92-2.02
7 Ni 0.5139 0.0039 0.4966  6 O 2.05-2.13
8 Ni 0.0089 0.5127 0.5057  4 O 1.93-1.96
9 Ni 0.9914 0.4754 0.9931  5 O 1.93-2.12
10 O 0.7218 0.7103 0.5693  2 Ni 1.93-2.05
11 O 0.6896 0.6714 0.9441  1 Li 1.83, 1 Ni 1.99
12 O 0.2033 0.8017 0.4533  2 Ni 1.94-2.07
13 O 0.8135 0.2198 0.5493  2 Ni 1.95-2.08
14 O 0.7851 0.1733 0.9260  1 Li 1.95, 2 Ni 1.97-2.12
15 O 0.3878 0.0500 0.7489  2 Ni 2.02-2.12, 1 Tl 2.24
16 O 0.1962 0.8062 0.0726  1 Li 1.84, 1 Ni 1.92
17 O 0.6212 0.9519 0.2407  1 Li 1.92, 1 Ni 2.13
18 O 0.8816 0.4569 0.2304  1 Ni 1.96
19 O 0.2806 0.2954 0.0617  2 Ni 1.93-1.99
20 O 0.1150 0.5441 0.7616  2 Ni 1.96-2.17
21 O 0.3055 0.3194 0.4400  2 Ni 1.96-2.11

## Properties
Relative energy among the computed polymorphs in meV per atom: 0
Symmetry: P1, No. 1


A relaxed Li3Tl2NiO6 crystal, computed with PBE with a Hubbard U.

Cell: 5.6514 5.6514 5.2172 Å, 98.33 98.33 121.94°
With the nearest neighbours (Å) after each atom.
Sites, in units of the cell vectors:
1 Li 0.1350 0.8650 0.5000  4 O 2.05-2.08
2 Li 0.8650 0.1350 0.5000  4 O 2.05-2.08
3 Li 0.5000 0.5000 0.5000  6 O 2.23-2.40
4 Tl 0.3293 0.6707 0.0000  6 O 2.25-2.36
5 Tl 0.6707 0.3293 0.0000  6 O 2.25-2.36
6 Ni 0.0000 0.0000 0.0000  6 O 1.92-2.09
7 O 0.9205 0.6255 0.7560  2 Li 2.08-2.23, 1 Ni 2.09, 1 Tl 2.25
8 O 0.7833 0.7833 0.2279  1 Ni 1.92, 2 Li 2.05
9 O 0.0795 0.3745 0.2440  2 Li 2.08-2.23, 1 Ni 2.09, 1 Tl 2.25
10 O 0.6255 0.9205 0.7560  2 Li 2.08-2.23, 1 Ni 2.09, 1 Tl 2.25
11 O 0.2167 0.2167 0.7721  1 Ni 1.92, 2 Li 2.05
12 O 0.3745 0.0795 0.2440  2 Li 2.08-2.23, 1 Ni 2.09, 1 Tl 2.25

## Properties
Electronic total energy in eV per formula unit: -56.4
Symmetry: C2/m, No. 12


A relaxed LiTl4Ni4O12 crystal, computed with PBE with a Hubbard U.

Cell: 5.2905 5.6495 8.1618 Å, 93.47 92.04 89.62°
With the nearest neighbours (Å) after each atom.
Sites, in units of the cell vectors:
1 Li 0.1142 0.7565 0.3699  4 O 1.89-1.93
2 Tl 0.5527 0.5589 0.2383  5 O 2.21-2.45
3 Tl 0.0267 0.9442 0.7486  5 O 2.21-2.40
4 Tl 0.4690 0.4400 0.7588  5 O 2.20-2.36
5 Tl 0.9940 0.1096 0.2081  5 O 2.21-2.36
6 Ni 0.5090 0.0025 0.9859  5 O 2.00-2.19
7 Ni 0.5090 0.9938 0.5042  5 O 1.96-2.08
8 Ni 0.9773 0.4647 0.5293  5 O 1.91-2.04
9 Ni 0.0091 0.5191 0.9911  6 O 1.94-2.09
10 O 0.7331 0.2580 0.4192  2 Ni 1.91-2.08
11 O 0.7074 0.3143 0.0443  2 Ni 2.05-2.08, 1 Tl 2.21
12 O 0.2152 0.2084 0.5733  2 Ni 1.95-2.04
13 O 0.7749 0.7429 0.4469  1 Li 1.93, 2 Ni 2.03-2.04
14 O 0.8006 0.8107 0.0699  2 Ni 2.00-2.06, 1 Tl 2.21
15 O 0.3690 0.9449 0.2794  1 Li 1.92, 1 Ni 1.96
16 O 0.2018 0.2017 0.9366  2 Ni 2.01-2.09, 1 Tl 2.23
17 O 0.6241 0.0486 0.7349  2 Ni 1.97-2.19
18 O 0.8680 0.5494 0.7628  2 Ni 2.00-2.04, 1 Tl 2.20
19 O 0.2997 0.7062 0.9397  2 Ni 1.94-2.02
20 O 0.1379 0.4806 0.2292  1 Li 1.89, 1 Ni 2.06
21 O 0.2571 0.6949 0.5796  1 Li 1.90, 1 Ni 1.99

## Properties
Relative energy among the computed polymorphs in meV per atom: 26
Symmetry: P1, No. 1